## ZrInC2 (GGA-PBE)

Data for a relaxed ZrInC2 crystal.

The structure in POSCAR format:
```
ZrInC2
1.0
5.9280 0.0000 0.0000
0.0000 5.9280 0.0000
0.0000 0.0000 5.9280
Zr In C
4 4 8
Direct
0.0000 0.0000 0.0000 Zr
0.0000 0.5000 0.5000 Zr
0.5000 0.0000 0.5000 Zr
0.5000 0.5000 0.0000 Zr
0.0000 0.0000 0.5000 In
0.0000 0.5000 0.0000 In
0.5000 0.0000 0.0000 In
0.5000 0.5000 0.5000 In
0.2500 0.2500 0.2500 C
0.2500 0.2500 0.7500 C
0.2500 0.7500 0.2500 C
0.2500 0.7500 0.7500 C
0.7500 0.2500 0.2500 C
0.7500 0.2500 0.7500 C
0.7500 0.7500 0.2500 C
0.7500 0.7500 0.7500 C
```

Results
The calculation puts the energy above the lowest structure with this stoichiometry at 2.113 eV/f.u. Its energy is -6.22 eV per atom. The calculation puts the magnetic moment at 0.000 μB/f.u. The formation energy comes out at 1.210 eV per atom.